Record 1
# CaLaMn2 PBE-GGA optimized geometry
# ΔH_f (0 K) = 0.369 eV per atom
# DOS at the Fermi energy = 1.0668 states/eV per atom
# Density = 4.61 g/cm3
# Crystal system = orthorhombic
data_CaLaMn2
_cell_length_a 4.4875
_cell_length_b 4.0077
_cell_length_c 11.5716
_cell_angle_alpha 90.00
_cell_angle_beta 90.00
_cell_angle_gamma 90.00
_symmetry_space_group_name_H-M 'A m m 2'
_symmetry_Int_Tables_number 38
loop_
_symmetry_equiv_pos_as_xyz
'x,y,z'
'-x,-y,z'
'-x,y,z'
'x,-y,z'
'x,y+1/2,z+1/2'
'-x,-y+1/2,z+1/2'
'-x,y+1/2,z+1/2'
'x,-y+1/2,z+1/2'
loop_
_atom_site_label
_atom_site_fract_x
_atom_site_fract_y
_atom_site_fract_z
Ca1 0.0000 0.0000 0.0000
La1 0.5000 0.0000 0.7123
Mn1 0.0000 0.0000 0.2913
Mn2 0.5000 0.0000 0.4111

Record 2
# LiCaLuPd PBE-GGA optimized geometry
# ΔH_f (0 K) = -0.362 eV per atom
# DOS at the Fermi energy = 0.7991 states/eV per atom
# Density = 6.13 g/cm3
# Crystal system = cubic
data_LiCaLuPd
_cell_length_a 7.0861
_cell_length_b 7.0861
_cell_length_c 7.0861
_cell_angle_alpha 90.00
_cell_angle_beta 90.00
_cell_angle_gamma 90.00
_symmetry_space_group_name_H-M 'F -4 3 m'
_symmetry_Int_Tables_number 216
_symmetry_space_group_name_Hall 'F -4 2 3'
loop_
_atom_site_label
_atom_site_fract_x
_atom_site_fract_y
_atom_site_fract_z
Li1 0.0000 0.0000 0.0000
Ca1 0.2500 0.2500 0.7500
Lu1 0.2500 0.2500 0.2500
Pd1 0.0000 0.0000 0.5000

Record 3
# ZnCo2HAu PBE-GGA optimized geometry
# Relative energy among the computed polymorphs = 0 meV per atom
# DOS at the Fermi energy = 1.1142 states/eV per atom
# Density = 11.46 g/cm3
# Crystal system = tetragonal
data_ZnCo2HAu
_cell_length_a 3.6909
_cell_length_b 3.6909
_cell_length_c 4.0543
_cell_angle_alpha 90.00
_cell_angle_beta 90.00
_cell_angle_gamma 90.00
_symmetry_space_group_name_H-M 'P 4/m m m'
_symmetry_Int_Tables_number 123
_symmetry_space_group_name_Hall '-P 4 2'
loop_
_atom_site_label
_atom_site_fract_x
_atom_site_fract_y
_atom_site_fract_z
Zn1 0.0000 0.0000 0.0000
Co1 0.0000 0.5000 0.5000
H1 0.0000 0.0000 0.5000
Au1 0.5000 0.5000 0.0000

Record 4
# Cu2RePd PBE-GGA optimized geometry
# ΔH_f (0 K) = 0.416 eV per atom
# Relative energy among the computed polymorphs = 292 meV per atom
# DOS at the Fermi energy = 0.7836 states/eV per atom
# Density = 12.90 g/cm3
# Crystal system = cubic
data_Cu2RePd
_cell_length_a 6.0011
_cell_length_b 6.0011
_cell_length_c 6.0011
_cell_angle_alpha 90.00
_cell_angle_beta 90.00
_cell_angle_gamma 90.00
_symmetry_space_group_name_H-M 'F m -3 m'
_symmetry_Int_Tables_number 225
_symmetry_space_group_name_Hall '-F 4 2 3'
loop_
_atom_site_label
_atom_site_fract_x
_atom_site_fract_y
_atom_site_fract_z
Cu1 0.2500 0.2500 0.2500
Re1 0.0000 0.0000 0.0000
Pd1 0.0000 0.0000 0.5000

Record 5
# TlNiTe2 PBE-GGA optimized geometry
# DOS at the Fermi energy = 0.7096 states/eV per atom
# Energy relative to the elements, uncorrected = -0.18 eV per atom
# Density = 8.22 g/cm3
# Crystal system = trigonal
data_TlNiTe2
_cell_length_a 3.8938
_cell_length_b 3.8938
_cell_length_c 23.9212
_cell_angle_alpha 90.00
_cell_angle_beta 90.00
_cell_angle_gamma 120.00
_symmetry_space_group_name_H-M 'R 3 m'
_symmetry_Int_Tables_number 160
_symmetry_space_group_name_Hall 'R 3 -2"'
loop_
_atom_site_label
_atom_site_fract_x
_atom_site_fract_y
_atom_site_fract_z
Tl1 0.0000 0.0000 0.0000
Ni1 0.0000 0.0000 0.8341
Te1 0.0000 0.0000 0.2236
Te2 0.0000 0.0000 0.4450

Record 6
# CaLa2Zn2 PBE-GGA optimized geometry
# ΔH_f (0 K) = 0.035 eV per atom
# Relative energy among the computed polymorphs = 244 meV per atom
# DOS at the Fermi energy = 0.7154 states/eV per atom
# Density = 4.73 g/cm3
# Crystal system = tetragonal
data_CaLa2Zn2
_cell_length_a 5.3133
_cell_length_b 5.3133
_cell_length_c 11.1523
_cell_angle_alpha 90.00
_cell_angle_beta 90.00
_cell_angle_gamma 90.00
_symmetry_space_group_name_H-M 'I 4/m m m'
_symmetry_Int_Tables_number 139
_symmetry_space_group_name_Hall '-I 4 2'
loop_
_atom_site_label
_atom_site_fract_x
_atom_site_fract_y
_atom_site_fract_z
Ca1 0.0000 0.0000 0.0000
La1 0.0000 0.0000 0.3662
Zn1 0.0000 0.5000 0.2500